The following is a PBE calculation of a relaxed Nd6CdSn2 crystal, from Alexandria via LeMat-Bulk.

Cell and atoms, written as CIF:
```
data_Nd6CdSn2
_chemical_formula_sum 'Nd6 Cd1 Sn2'
_cell_length_a 8.6826
_cell_length_b 8.6826
_cell_length_c 4.3684
_cell_angle_alpha 90.00
_cell_angle_beta 90.00
_cell_angle_gamma 120.00
_symmetry_space_group_name_H-M 'P -6 2 m'
_symmetry_Int_Tables_number 189
_symmetry_space_group_name_Hall 'P -6 -2'
loop_
_atom_site_label
_atom_site_type_symbol
_atom_site_fract_x
_atom_site_fract_y
_atom_site_fract_z
Nd1 Nd 0.0000 0.2717 0.0000
Nd2 Nd 0.0000 0.5958 0.5000
Cd1 Cd 0.0000 0.0000 0.5000
Sn1 Sn 0.3333 0.6667 0.0000
```

## Properties
The calculated formation energy comes out at -0.419 eV/atom.



The following is a PBE calculation of a relaxed Nd4Cd5Sn6 crystal, from Alexandria via LeMat-Bulk.

Cell and atoms, written as CIF:
```
data_Nd4Cd5Sn6
_chemical_formula_sum 'Nd16 Cd20 Sn24'
_cell_length_a 4.737
_cell_length_b 20.750
_cell_length_c 16.961
_cell_angle_alpha 90.00
_cell_angle_beta 90.00
_cell_angle_gamma 90.00
_symmetry_space_group_name_H-M 'C m c 21'
_symmetry_Int_Tables_number 36
loop_
_symmetry_equiv_pos_as_xyz
'x,y,z'
'-x,-y,z+1/2'
'-x,y,z'
'x,-y,z+1/2'
'x+1/2,y+1/2,z'
'-x+1/2,-y+1/2,z+1/2'
'-x+1/2,y+1/2,z'
'x+1/2,-y+1/2,z+1/2'
loop_
_atom_site_label
_atom_site_type_symbol
_atom_site_fract_x
_atom_site_fract_y
_atom_site_fract_z
Nd1 Nd 0.000 0.023 0.000
Nd2 Nd 0.000 0.033 0.267
Nd3 Nd 0.000 0.164 0.802
Nd4 Nd 0.000 0.173 0.446
Cd1 Cd 0.000 0.153 0.129
Cd2 Cd 0.000 0.302 0.123
Cd3 Cd 0.000 0.346 0.780
Cd4 Cd 0.000 0.348 0.487
Cd5 Cd 0.000 0.434 0.194
Sn1 Sn 0.000 0.106 0.614
Sn2 Sn 0.000 0.227 0.979
Sn3 Sn 0.000 0.233 0.272
Sn4 Sn 0.000 0.431 0.920
Sn5 Sn 0.000 0.435 0.632
Sn6 Sn 0.000 0.440 0.360
```

## Properties
The calculated formation energy comes out at -0.467 eV/atom.



The following is a PBE calculation of a relaxed Nd5Cd2Sn2 crystal, from Alexandria via LeMat-Bulk.

Cell and atoms, written as CIF:
```
data_Nd5Cd2Sn2
_chemical_formula_sum 'Nd20 Cd8 Sn8'
_cell_length_a 16.516
_cell_length_b 8.293
_cell_length_c 8.295
_cell_angle_alpha 90.00
_cell_angle_beta 90.00
_cell_angle_gamma 90.00
_symmetry_space_group_name_H-M 'C m c e'
_symmetry_Int_Tables_number 64
_symmetry_space_group_name_Hall '-C 2ac 2'
loop_
_atom_site_label
_atom_site_type_symbol
_atom_site_fract_x
_atom_site_fract_y
_atom_site_fract_z
Nd1 Nd 0.000 0.000 0.000
Nd2 Nd 0.144 0.174 0.329
Cd1 Cd 0.000 0.123 0.625
Sn1 Sn 0.203 0.000 0.000
```

## Properties
The calculated formation energy comes out at -0.441 eV/atom.



The following is a PBE calculation of a relaxed Nd2CdSn9 crystal, from Alexandria via LeMat-Bulk.

Cell and atoms, written as CIF:
```
data_Nd2CdSn9
_chemical_formula_sum 'Nd2 Cd1 Sn9'
_cell_length_a 4.685
_cell_length_b 4.685
_cell_length_c 14.843
_cell_angle_alpha 90.00
_cell_angle_beta 90.00
_cell_angle_gamma 90.00
_symmetry_space_group_name_H-M 'P 4/m m m'
_symmetry_Int_Tables_number 123
_symmetry_space_group_name_Hall '-P 4 2'
loop_
_atom_site_label
_atom_site_type_symbol
_atom_site_fract_x
_atom_site_fract_y
_atom_site_fract_z
Nd1 Nd 0.000 0.000 0.159
Cd1 Cd 0.000 0.000 0.500
Sn1 Sn 0.000 0.500 0.000
Sn2 Sn 0.000 0.500 0.336
Sn3 Sn 0.500 0.500 0.172
Sn4 Sn 0.500 0.500 0.500
```

## Properties
The calculated formation energy comes out at -0.306 eV/atom.



The following is a PBE calculation of a relaxed Nd2Cd5Sn crystal, from Alexandria via LeMat-Bulk.

Cell and atoms, written as CIF:
```
data_Nd2Cd5Sn
_chemical_formula_sum 'Nd8 Cd20 Sn4'
_cell_length_a 4.703
_cell_length_b 17.753
_cell_length_c 9.937
_cell_angle_alpha 90.00
_cell_angle_beta 90.00
_cell_angle_gamma 90.00
_symmetry_space_group_name_H-M 'C m c m'
_symmetry_Int_Tables_number 63
_symmetry_space_group_name_Hall '-C 2c 2'
loop_
_atom_site_label
_atom_site_type_symbol
_atom_site_fract_x
_atom_site_fract_y
_atom_site_fract_z
Nd1 Nd 0.000 0.000 0.000
Nd2 Nd 0.000 0.195 0.250
Cd1 Cd 0.000 0.192 0.605
Cd2 Cd 0.000 0.353 0.530
Cd3 Cd 0.000 0.390 0.250
Sn1 Sn 0.000 0.454 0.750
```

## Properties
The calculated formation energy comes out at -0.351 eV/atom.



The following is a PBE calculation of a relaxed SrNdCdSn crystal, from Alexandria via LeMat-Bulk.

Cell and atoms, written as CIF:
```
data_SrNdCdSn
_chemical_formula_sum 'Sr4 Nd4 Cd4 Sn4'
_cell_length_a 7.880
_cell_length_b 7.880
_cell_length_c 7.880
_cell_angle_alpha 90.00
_cell_angle_beta 90.00
_cell_angle_gamma 90.00
_symmetry_space_group_name_H-M 'F -4 3 m'
_symmetry_Int_Tables_number 216
_symmetry_space_group_name_Hall 'F -4 2 3'
loop_
_atom_site_label
_atom_site_type_symbol
_atom_site_fract_x
_atom_site_fract_y
_atom_site_fract_z
Sr1 Sr 0.000 0.000 0.000
Nd1 Nd 0.000 0.000 0.500
Cd1 Cd 0.250 0.250 0.750
Sn1 Sn 0.250 0.250 0.250
```

## Properties
The calculated formation energy comes out at -0.474 eV/atom.



The following is a PBE calculation of a relaxed SrNd2Cd2Sn2 crystal, from Alexandria via LeMat-Bulk.

Cell and atoms, written as CIF:
```
data_SrNd2Cd2Sn2
_chemical_formula_sum 'Sr3 Nd6 Cd6 Sn6'
_cell_length_a 5.0564
_cell_length_b 5.0564
_cell_length_c 28.9586
_cell_angle_alpha 90.00
_cell_angle_beta 90.00
_cell_angle_gamma 120.00
_symmetry_space_group_name_H-M 'R -3 m'
_symmetry_Int_Tables_number 166
_symmetry_space_group_name_Hall '-R 3 2"'
loop_
_atom_site_label
_atom_site_type_symbol
_atom_site_fract_x
_atom_site_fract_y
_atom_site_fract_z
Sr1 Sr 0.0000 0.0000 0.0000
Nd1 Nd 0.0000 0.0000 0.1328
Cd1 Cd 0.0000 0.0000 0.4210
Sn1 Sn 0.0000 0.0000 0.2591
```

## Properties
The calculated formation energy comes out at -0.357 eV/atom.



The following is a PBE calculation of a relaxed TbNdCdSn crystal, from Alexandria via LeMat-Bulk.

Cell and atoms, written as CIF:
```
data_TbNdCdSn
_chemical_formula_sum 'Tb4 Nd4 Cd4 Sn4'
_cell_length_a 7.601
_cell_length_b 7.601
_cell_length_c 7.601
_cell_angle_alpha 90.00
_cell_angle_beta 90.00
_cell_angle_gamma 90.00
_symmetry_space_group_name_H-M 'F -4 3 m'
_symmetry_Int_Tables_number 216
_symmetry_space_group_name_Hall 'F -4 2 3'
loop_
_atom_site_label
_atom_site_type_symbol
_atom_site_fract_x
_atom_site_fract_y
_atom_site_fract_z
Tb1 Tb 0.000 0.000 0.000
Nd1 Nd 0.000 0.000 0.500
Cd1 Cd 0.250 0.250 0.750
Sn1 Sn 0.250 0.250 0.250
```

## Properties
The calculated formation energy comes out at -0.520 eV/atom.



Number 1: E -41.3 eV per cell. Number 2: E -218.7 eV per cell. Number 3: E -150.6 eV per cell. Number 4: E -50.1 eV per cell. Number 5: E -83.7 eV per cell. Number 6: E -53.1 eV per cell. Number 7: E -70.7 eV per cell. Number 8: E -65.6 eV per cell.